Here is a geometry-optimized RbZrNi structure from OQMD. Energies are from PBE-GGA.

Computed properties:
DFT total energy, eV per atom: -3.825
Energy above the lowest structure with this stoichiometry, eV/atom: 0.000
Calculated volume, Å³ per atom: 25.96

The structure in extended XYZ format:
```
3
Lattice="3.566 0.082 3.202 -0.831 1.504 4.474 0.036 -3.133 3.627" Properties=species:S:1:pos:R:3 pbc="T T T"
Ni 0.000 0.000 0.000
Rb 0.693 -0.387 2.826
Zr 2.078 -1.160 8.478
```